(1)
! PBE Ba2PRh, optimized geometry; values from VASP
&SYSTEM
  ibrav = 0, nat = 4, ntyp = 3
/
ATOMIC_SPECIES
P 30.97 P.upf
Rh 102.91 Rh.upf
Ba 137.33 Ba.upf
ATOMIC_POSITIONS crystal
P 0.000 0.666 0.543
Rh 0.500 0.587 0.700
Ba 0.000 0.977 0.922
Ba 0.500 0.270 0.334
CELL_PARAMETERS angstrom
-0.871 4.436 -0.028
-4.092 -0.819 -2.501
-4.765 -0.914 3.359
! magnetization	0.000	μB/atom
! mass density	5.738	g cm⁻³
! V	29.55	A^3/atom
! calculated formation energy	-67	kJ/mol of atoms
! space-group type	Amm2 (38)


(2)
! PBE BaP2Rh2, optimized geometry; values from VASP
&SYSTEM
  ibrav = 0, nat = 5, ntyp = 3
/
ATOMIC_SPECIES
P 30.97 P.upf
Rh 102.91 Rh.upf
Ba 137.33 Ba.upf
ATOMIC_POSITIONS crystal
P 0.650 0.650 0.298
P 0.350 0.350 0.702
Rh 0.250 0.750 0.500
Rh 0.750 0.250 0.500
Ba 0.000 0.000 0.000
CELL_PARAMETERS angstrom
-2.481 2.731 1.494
-1.741 0.369 -3.561
-2.013 -6.123 2.566
! magnetization	0.000	μB/atom
! mass density	6.689	g cm⁻³
! V	20.11	A^3/atom
! calculated formation energy	-93	kJ/mol of atoms
! space-group type	C2/m (12)


(3)
! PBE Ba6P2Rh, optimized geometry; values from VASP
&SYSTEM
  ibrav = 0, nat = 9, ntyp = 3
/
ATOMIC_SPECIES
Ba 137.33 Ba.upf
P 30.97 P.upf
Rh 102.91 Rh.upf
ATOMIC_POSITIONS crystal
Ba 0.347 0.896 0.693
Ba 0.008 0.228 0.017
Ba 0.674 0.569 0.348
Ba 0.992 0.772 0.983
Ba 0.653 0.104 0.307
Ba 0.326 0.431 0.652
P 0.833 0.661 0.665
P 0.167 0.339 0.335
Rh 0.500 0.000 0.000
CELL_PARAMETERS angstrom
4.528 0.000 -1.038
-0.541 9.221 -2.361
0.050 -0.134 10.619
! magnetization	0.000	μB/atom
! mass density	3.712	g cm⁻³
! V	49.15	A^3/atom
! calculated formation energy	-59	kJ/mol of atoms
! space-group type	C2/m (12)


(4)
! PBE Ba8PRh2, optimized geometry; values from VASP
&SYSTEM
  ibrav = 0, nat = 11, ntyp = 3
/
ATOMIC_SPECIES
Ba 137.33 Ba.upf
P 30.97 P.upf
Rh 102.91 Rh.upf
ATOMIC_POSITIONS crystal
Ba 0.296 0.612 0.222
Ba 0.704 0.388 0.778
Ba 0.830 0.911 0.274
Ba 0.292 0.140 0.279
Ba 0.170 0.638 0.726
Ba 0.170 0.089 0.726
Ba 0.708 0.860 0.720
Ba 0.830 0.362 0.274
P 0.000 0.000 0.000
Rh 0.985 0.276 0.552
Rh 0.015 0.724 0.448
CELL_PARAMETERS angstrom
-5.741 -2.408 -4.828
0.321 -8.288 3.761
-5.137 6.372 3.451
! magnetization	0.000	μB/atom
! mass density	4.057	g cm⁻³
! V	49.69	A^3/atom
! calculated formation energy	-27	kJ/mol of atoms
! space-group type	C2/m (12)


(5)
! PBE BaPRhS2, optimized geometry; values from VASP
&SYSTEM
  ibrav = 0, nat = 5, ntyp = 4
/
ATOMIC_SPECIES
P 30.97 P.upf
S 32.06 S.upf
Rh 102.91 Rh.upf
Ba 137.33 Ba.upf
ATOMIC_POSITIONS crystal
P 0.000 0.000 0.500
S 0.000 0.500 0.000
S 0.500 0.000 0.000
Rh 0.500 0.500 0.500
Ba 0.000 0.000 0.000
CELL_PARAMETERS angstrom
-1.221 -1.885 -5.427
-5.376 -1.580 1.758
-2.073 5.461 -1.431
! magnetization	1.137	μB/atom
! mass density	2.684	g cm⁻³
! raw formation energy	1429	meV/atom
! V	41.49	A^3/atom
! space-group type	P4/mmm (123)


(6)
! PBE BaP2RhS, optimized geometry; values from VASP
&SYSTEM
  ibrav = 0, nat = 5, ntyp = 4
/
ATOMIC_SPECIES
P 30.97 P.upf
S 32.06 S.upf
Rh 102.91 Rh.upf
Ba 137.33 Ba.upf
ATOMIC_POSITIONS crystal
P 0.000 0.500 0.000
P 0.500 0.000 0.000
S 0.000 0.000 0.500
Rh 0.000 0.000 0.000
Ba 0.500 0.500 0.500
CELL_PARAMETERS angstrom
4.571 0.000 0.000
0.000 4.571 0.000
0.000 0.000 5.486
! magnetization	0.000	μB/atom
! mass density	4.841	g cm⁻³
! raw formation energy	-429	meV/atom
! V	22.93	A^3/atom
! space-group type	P4/mmm (123)


(7)
! PBE BaP2RhS6, optimized geometry; values from VASP
&SYSTEM
  ibrav = 0, nat = 10, ntyp = 4
/
ATOMIC_SPECIES
Ba 137.33 Ba.upf
P 30.97 P.upf
Rh 102.91 Rh.upf
S 32.06 S.upf
ATOMIC_POSITIONS crystal
Ba 0.000 0.000 0.000
P 0.748 0.748 0.757
P 0.252 0.252 0.243
Rh 0.500 0.500 0.500
S 0.110 0.492 0.725
S 0.672 0.110 0.725
S 0.508 0.328 0.275
S 0.890 0.508 0.275
S 0.328 0.890 0.275
S 0.492 0.672 0.725
CELL_PARAMETERS angstrom
6.370 0.000 0.000
3.185 5.517 0.000
3.185 1.839 7.092
! magnetization	0.000	μB/atom
! mass density	3.295	g cm⁻³
! raw formation energy	-492	meV/atom
! V	24.92	A^3/atom
! space-group type	R-3 (148)


(8)
! PBE BaP2RhS, optimized geometry; values from VASP
&SYSTEM
  ibrav = 0, nat = 5, ntyp = 4
/
ATOMIC_SPECIES
P 30.97 P.upf
S 32.06 S.upf
Rh 102.91 Rh.upf
Ba 137.33 Ba.upf
ATOMIC_POSITIONS crystal
P 0.000 0.500 0.000
P 0.500 0.000 0.000
S 0.000 0.000 0.500
Rh 0.500 0.500 0.500
Ba 0.000 0.000 0.000
CELL_PARAMETERS angstrom
5.517 0.000 0.000
0.000 5.517 0.000
0.000 0.000 5.604
! magnetization	0.546	μB/atom
! mass density	3.254	g cm⁻³
! raw formation energy	1770	meV/atom
! V	34.11	A^3/atom
! space-group type	P4/mmm (123)


(9)
! PBE BaPRhS2, optimized geometry; values from VASP
&SYSTEM
  ibrav = 0, nat = 5, ntyp = 4
/
ATOMIC_SPECIES
P 30.97 P.upf
S 32.06 S.upf
Rh 102.91 Rh.upf
Ba 137.33 Ba.upf
ATOMIC_POSITIONS crystal
P 0.000 0.000 0.500
S 0.000 0.500 0.000
S 0.500 0.000 0.000
Rh 0.000 0.000 0.000
Ba 0.500 0.500 0.500
CELL_PARAMETERS angstrom
5.104 0.000 0.000
0.000 5.104 0.000
0.000 0.000 4.365
! magnetization	0.000	μB/atom
! mass density	4.897	g cm⁻³
! raw formation energy	-646	meV/atom
! V	22.74	A^3/atom
! space-group type	P4/mmm (123)


(10)
! PBE BaPRhS2, optimized geometry; values from VASP
&SYSTEM
  ibrav = 0, nat = 5, ntyp = 4
/
ATOMIC_SPECIES
P 30.97 P.upf
S 32.06 S.upf
Rh 102.91 Rh.upf
Ba 137.33 Ba.upf
ATOMIC_POSITIONS crystal
P 0.500 0.500 0.500
S 0.000 0.000 0.500
S 0.500 0.000 0.000
Rh 0.000 0.000 0.000
Ba 0.000 0.500 0.000
CELL_PARAMETERS angstrom
-1.131 3.628 -2.528
-0.724 -3.752 -5.061
-4.391 -0.614 1.084
! magnetization	0.111	μB/atom
! mass density	4.214	g cm⁻³
! raw formation energy	31	meV/atom
! V	26.43	A^3/atom
! space-group type	P4/mmm (123)


(11)
! PBE Ba2PRhSe, optimized geometry; values from VASP
&SYSTEM
  ibrav = 0, nat = 5, ntyp = 4
/
ATOMIC_SPECIES
P 30.97 P.upf
Rh 102.91 Rh.upf
Ba 137.33 Ba.upf
Se 78.96 Se.upf
ATOMIC_POSITIONS crystal
P 0.000 0.000 0.500
Rh 0.000 0.000 0.000
Ba 0.000 0.500 0.000
Ba 0.500 0.000 0.000
Se 0.500 0.500 0.500
CELL_PARAMETERS angstrom
-5.304 1.288 -2.673
0.339 -5.175 -3.168
-2.124 -2.099 3.203
! magnetization	0.000	μB/atom
! mass density	5.005	g cm⁻³
! raw formation energy	-1018	meV/atom
! V	32.35	A^3/atom
! space-group type	P4/mmm (123)


(12)
! PBE BaSiP6Rh2, optimized geometry; values from VASP
&SYSTEM
  ibrav = 0, nat = 10, ntyp = 4
/
ATOMIC_SPECIES
Ba 137.33 Ba.upf
Si 28.09 Si.upf
P 30.97 P.upf
Rh 102.91 Rh.upf
ATOMIC_POSITIONS crystal
Ba 0.000 0.000 0.000
Si 0.500 0.500 0.500
P 0.122 0.554 0.772
P 0.553 0.122 0.772
P 0.446 0.447 0.228
P 0.878 0.446 0.228
P 0.447 0.878 0.228
P 0.554 0.553 0.772
Rh 0.681 0.681 0.956
Rh 0.319 0.319 0.044
CELL_PARAMETERS angstrom
6.347 0.000 0.000
3.173 5.497 0.000
3.173 1.832 6.460
! magnetization	0.000	μB/atom
! mass density	4.104	g cm⁻³
! raw formation energy	-246	meV/atom
! V	22.54	A^3/atom
! space-group type	R-3m (166)